Record 1
The following is a PBE calculation of an optimized crystal structure of BaPH, from the Alexandria database.

a b c (Å): 6.7123 6.7073 6.8174
angles (deg): 90.00 90.00 90.00
Element x y z (fractional)
1 P 0.7455 0.2500 0.0011
2 Ba 0.7529 0.2500 0.4796
3 H 0.3936 0.2500 0.6523
4 P 0.2455 0.2500 0.4989
5 H 0.1064 0.7500 0.1523
6 Ba 0.2471 0.7500 0.5204
7 H 0.6064 0.7500 0.3477
8 Ba 0.2529 0.2500 0.0204
9 Ba 0.7471 0.7500 0.9796
10 H 0.8936 0.2500 0.8477
11 P 0.7545 0.7500 0.5011
12 P 0.2545 0.7500 0.9989

Values from the calculation:
- Space group: Pnma

***

Record 2
The following is a PBE calculation of an optimized crystal structure of BaPH, from the Alexandria database.

a b c (Å): 4.6310 4.6310 4.9158
angles (deg): 118.10 118.10 90.00
Element x y z (fractional)
1 P 0.3579 0.3579 0.7159
2 Ba 0.9374 0.9374 0.8749
3 H 0.5546 0.5546 0.1093

Values from the calculation:
- Space group: I4mm

***

Record 3
The following is a PBE calculation of an optimized crystal structure of Ba2PH2, from the Alexandria database.

a b c (Å): 4.2703 5.7425 12.0451
angles (deg): 90.00 100.21 90.00
Site moments in Bohr magnetons follow the coordinates.
Element x y z (fractional)
1 Ba 0.8044 0.9774 0.6088  0.05
2 P 0.3992 0.9764 0.7984  0.34
3 H 0.0000 0.2262 0.0000  0.04
4 H 0.7705 0.4779 0.5411  0.01
5 Ba 0.5420 0.9764 0.0839  0.00
6 P 0.6008 0.4764 0.2016  0.34
7 Ba 0.1956 0.4774 0.3912  0.05
8 Ba 0.4580 0.4764 0.9161  0.00
9 H 0.0000 0.7262 0.0000  0.04
10 H 0.2295 0.9779 0.4589  0.01

Values from the calculation:
- Space group: Cmc2_1

***

Record 4
The following is a PBE calculation of an optimized crystal structure of Ba3PH3, from the Alexandria database.

a b c (Å): 8.4674 8.4674 8.9062
angles (deg): 58.28 58.28 63.16
Element x y z (fractional)
1 Ba 0.9998 0.4999 0.7553
2 Ba 0.9959 0.9959 0.7539
3 Ba 0.0002 0.5001 0.2447
4 H 0.8234 0.1766 0.0000
5 H 0.1766 0.8234 0.0000
6 Ba 0.4999 0.9998 0.7553
7 H 0.1768 0.8232 0.5000
8 Ba 0.5001 0.0002 0.2447
9 P 0.2717 0.2717 0.9783
10 H 0.2369 0.2369 0.5122
11 H 0.7631 0.7631 0.4878
12 Ba 0.0041 0.0041 0.2461
13 P 0.7283 0.7283 0.0217
14 H 0.8232 0.1768 0.5000

Values from the calculation:
- Space group: C2/m

***

Record 5
The following is a PBE calculation of an optimized crystal structure of Ba2PHPd6, from the Alexandria database.

a b c (Å): 6.1746 6.6770 6.6606
angles (deg): 55.13 62.43 90.07
Element x y z (fractional)
1 Pd 0.7652 0.2324 0.9613
2 Pd 0.2326 0.2705 0.5352
3 H 0.0000 0.0000 0.0000
4 Pd 0.2732 0.2326 0.9616
5 Ba 0.2292 0.7680 0.5417
6 Pd 0.7674 0.7295 0.4648
7 P 0.5000 0.5000 0.0000
8 Pd 0.2348 0.7676 0.0387
9 Ba 0.7708 0.2320 0.4583
10 Pd 0.7268 0.7674 0.0384

Values from the calculation:
- Space group: C2/m

***

Record 6
The following is a PBE calculation of an optimized crystal structure of BaPHPd2, from the Alexandria database.

a b c (Å): 4.1476 6.1395 7.1934
angles (deg): 90.00 90.00 109.74
Element x y z (fractional)
1 H 0.0000 0.0000 0.0000
2 Ba 0.5494 0.0987 0.2500
3 H 0.0000 0.0000 0.5000
4 Pd 0.8261 0.6521 0.4446
5 Ba 0.4506 0.9013 0.7500
6 Pd 0.8261 0.6521 0.0554
7 Pd 0.1739 0.3479 0.5554
8 P 0.7279 0.4558 0.7500
9 P 0.2721 0.5442 0.2500
10 Pd 0.1739 0.3479 0.9446

Values from the calculation:
- Space group: Cmcm

***

Record 7
The following is a PBE calculation of an optimized crystal structure of BaPHPt6, from the Alexandria database.

a b c (Å): 7.8002 7.5264 7.8216
angles (deg): 118.76 119.91 90.00
Element x y z (fractional)
1 Pt 0.2011 0.9511 0.4022
2 Pt 0.5835 0.3153 0.7392
3 H 0.0000 0.0000 0.5000
4 Pt 0.7989 0.0489 0.5978
5 H 0.5000 0.0000 0.5000
6 Pt 0.1557 0.9239 0.7392
7 Pt 0.4165 0.6847 0.2608
8 Pt 0.5835 0.9239 0.7392
9 Pt 0.6186 0.3686 0.2372
10 P 0.5000 0.0000 0.0000
11 P 0.5000 0.5000 0.0000
12 Ba 0.9067 0.6567 0.8134
13 Pt 0.3814 0.6314 0.7628
14 Ba 0.0933 0.3433 0.1866
15 Pt 0.8443 0.6847 0.2608
16 Pt 0.4165 0.0761 0.2608
17 Pt 0.1557 0.3153 0.7392
18 Pt 0.8443 0.0761 0.2608

Values from the calculation:
- Space group: Imma

***

Record 8
The following is a PBE calculation of an optimized crystal structure of BaPHPt2, from the Alexandria database.

a b c (Å): 4.4119 6.5764 4.4119
angles (deg): 90.00 90.00 90.00
Element x y z (fractional)
1 P 0.0000 0.0000 0.0000
2 Pt 0.5000 0.0000 0.0000
3 Pt 0.0000 0.0000 0.5000
4 H 0.5000 0.5000 0.5000
5 Ba 0.0000 0.5000 0.0000

Values from the calculation:
- Space group: P4/mmm

***

Calculated V, 25.577; 26.210; 29.070; 32.019; 18.590; 17.241; 18.394; 25.602 Å³ per atom (same order as the records).
Calculated uncorrected energy, -51.25; -12.73; -34.99; -49.59; -48.83; -48.53; -99.36; -23.50 eV for the cell shown (same order as the records).
Calculated magnetic moment, 0.0; 0.0; 2.1; 0.0; 0.0; 0.0; 0.0; 0.0 μB per cell (same order as the records).